VASP calculation (PBE with a Hubbard U) on an optimized crystal structure of Co3ReF.

Summary:
The value obtained for the calculated total energy is -22.16 eV per cell. The energy above the most stable polymorph in this dataset comes out at 826 meV/atom.

a b c (Å): 4.6562 4.6562 4.6562
angles (deg): 90.00 90.00 90.00
Fractional coordinates of all 5 atoms:
Co 0.0000 0.0000 0.5000
Co 0.0000 0.5000 0.0000
Co 0.5000 0.0000 0.0000
Re 0.0000 0.0000 0.0000
F 0.5000 0.5000 0.5000